This record from the Alexandria database describes an optimized crystal structure of Pr2YHoS5. The functional is PBE.

VASP energy ... -6.076 eV/atom
Raw formation energy ... -1.494 eV/atom
Calculated density ... 4.7 g/cm³

Cell lengths 4.881, 4.881, 10.279 Å; angles 90.00, 90.00, 90.00 degrees
Sites, in units of the cell vectors:
Pr1 0.500 0.500 0.294
Pr2 0.500 0.500 0.706
Y1 0.000 0.000 0.000
Ho1 0.000 0.000 0.500
S1 0.000 0.500 0.500
S2 0.500 0.000 0.500
S3 0.000 0.000 0.755
S4 0.000 0.000 0.245
S5 0.500 0.500 0.000

---

This record from the Alexandria database describes an optimized crystal structure of Er8FeCo2. The functional is PBE.

VASP energy ... -5.387 eV/atom
Calculated density ... 9.3 g/cm³
Polymorph energy (0 for the lowest one) ... 65 kJ/mol of formula units

Cell lengths 5.893, 7.281, 7.281 Å; angles 113.30, 100.49, 100.49 degrees
Sites, in units of the cell vectors:
Co1 0.478 0.695 0.317
Co2 0.478 0.317 0.695
Fe1 0.156 0.994 0.994
Er1 0.580 0.347 0.085
Er2 0.580 0.085 0.347
Er3 0.173 0.356 0.356
Er4 0.993 0.208 0.792
Er5 0.993 0.792 0.208
Er6 0.803 0.643 0.643
Er7 0.384 0.928 0.669
Er8 0.384 0.669 0.928

---

This record from the Alexandria database describes an optimized crystal structure of Mg2SiPt. The functional is PBE.

VASP energy ... -4.096 eV/atom
Raw formation energy ... -0.433 eV/atom
Calculated density ... 7.0 g/cm³

Cell lengths 4.053, 4.053, 3.942 Å; angles 90.00, 90.00, 90.00 degrees
Sites, in units of the cell vectors:
Mg1 0.000 0.000 0.000
Mg2 0.500 0.500 0.000
Pt1 0.500 0.000 0.500
Si1 0.000 0.500 0.500

---

This record from the Alexandria database describes an optimized crystal structure of Y3Mn. The functional is PBE.

VASP energy ... -6.963 eV/atom
Calculated density ... 4.9 g/cm³

Cell lengths 6.939, 6.939, 5.247 Å; angles 90.00, 90.00, 119.98 degrees
Last column: magnetic moment on the atom in μB.
Sites, in units of the cell vectors:
Y1 0.351 0.175 0.750  -0.29
Y2 0.825 0.175 0.750  -0.29
Y3 0.175 0.351 0.250  -0.29
Y4 0.825 0.649 0.750  -0.29
Y5 0.175 0.825 0.250  -0.29
Y6 0.649 0.825 0.250  -0.29
Mn1 0.667 0.333 0.250  3.65
Mn2 0.333 0.667 0.750  3.65

---

This record from the Alexandria database describes an optimized crystal structure of TlAg2W. The functional is PBE.

VASP energy ... -4.461 eV/atom
Calculated density ... 13.5 g/cm³
Polymorph energy (0 for the lowest one) ... 82 kJ/mol of formula units

Cell lengths 4.431, 4.095, 4.095 Å; angles 90.00, 90.00, 90.00 degrees
Sites, in units of the cell vectors:
Tl1 0.500 0.500 0.000
Ag1 0.000 0.000 0.000
Ag2 0.000 0.500 0.500
W1 0.500 0.000 0.500

---

This record from the Alexandria database describes an optimized crystal structure of Rb4LiNp3O8. The functional is PBE.

VASP energy ... -7.471 eV/atom
Raw formation energy ... -2.204 eV/atom
Calculated density ... 7.0 g/cm³

Cell lengths 7.073, 7.710, 7.074 Å; angles 117.31, 120.00, 90.00 degrees
Last column: magnetic moment on the atom in μB.
Sites, in units of the cell vectors:
Rb1 0.500 0.000 0.000  0.01
Rb2 0.500 0.000 0.500  0.01
Rb3 0.000 0.000 0.000  0.01
Rb4 0.000 0.000 0.500  0.01
Li1 0.000 0.500 0.000  0.00
Np1 0.500 0.500 0.000  3.38
Np2 0.500 0.500 0.500  3.38
Np3 0.000 0.500 0.500  3.38
O1 0.237 0.673 0.936  -0.08
O2 0.237 0.673 0.474  -0.08
O3 0.272 0.316 0.544  -0.07
O4 0.699 0.673 0.936  -0.08
O5 0.301 0.327 0.064  -0.08
O6 0.728 0.684 0.456  -0.07
O7 0.763 0.327 0.526  -0.08
O8 0.763 0.327 0.064  -0.08